Entry 1:
DFT (PBEsol) results for a relaxed structure of Cd4Hg. Values from VASP.

```
&SYSTEM
  ibrav = 0, nat = 10, ntyp = 2
/
ATOMIC_SPECIES
Cd 112.41 Cd.upf
Hg 200.59 Hg.upf
CELL_PARAMETERS angstrom
6.932 0.000 0.000
0.000 6.932 0.000
0.000 0.000 4.382
ATOMIC_POSITIONS angstrom
Cd 0.682 4.848 0.000
Cd 1.382 2.784 2.191
Cd 2.084 0.682 0.000
Cd 2.784 5.550 2.191
Cd 4.148 1.382 2.191
Cd 4.848 6.250 0.000
Cd 5.550 4.148 2.191
Cd 6.250 2.084 0.000
Hg 0.000 0.000 2.191
Hg 3.466 3.466 0.000
```

**E above lowest polymorph**: 0 meV per atom
**Density of states at the Fermi level**: 3.6 states/eV per cell
**E_form**: 0.00 eV per atom
**Theoretical density**: 10.26 g cm⁻³
**Total magnetic moment**: 0.000 μB/cell
**Calculated total energy**: -10.69 eV/cell

Entry 2:
DFT (PBEsol) results for a relaxed structure of Cd3Hg. Values from VASP.

```
&SYSTEM
  ibrav = 0, nat = 16, ntyp = 2
/
ATOMIC_SPECIES
Cd 112.41 Cd.upf
Hg 200.59 Hg.upf
CELL_PARAMETERS angstrom
4.399 0.000 0.000
0.000 4.399 0.000
0.000 0.000 17.493
ATOMIC_POSITIONS angstrom
Cd 0.000 0.000 2.179
Cd 0.000 0.000 15.313
Cd 0.000 2.199 0.000
Cd 0.000 2.199 4.373
Cd 0.000 2.199 8.746
Cd 0.000 2.199 13.119
Cd 2.199 0.000 0.000
Cd 2.199 0.000 4.373
Cd 2.199 0.000 8.746
Cd 2.199 0.000 13.119
Cd 2.199 2.199 6.567
Cd 2.199 2.199 10.925
Hg 0.000 0.000 6.555
Hg 0.000 0.000 10.938
Hg 2.199 2.199 2.191
Hg 2.199 2.199 15.301
```

**Density of states at the Fermi level**: 5.0 states/eV per cell
**E_form**: 0.00 eV per atom
**Theoretical density**: 10.55 g cm⁻³
**Total magnetic moment**: 0.000 μB/cell
**Calculated total energy**: -16.67 eV/cell

Entry 3:
DFT (PBEsol) results for a relaxed structure of Cd2Hg. Values from VASP.

```
&SYSTEM
  ibrav = 0, nat = 6, ntyp = 2
/
ATOMIC_SPECIES
Cd 112.41 Cd.upf
Hg 200.59 Hg.upf
CELL_PARAMETERS angstrom
0.000 4.057 4.057
4.057 0.000 4.057
4.057 4.057 0.000
ATOMIC_POSITIONS angstrom
Cd 0.000 0.000 0.000
Cd 2.029 2.029 0.000
Cd 2.029 0.000 2.029
Cd 0.000 2.029 2.029
Hg 3.043 3.043 3.043
Hg 5.072 5.072 5.072
```

**Density of states at the Fermi level**: 1.9 states/eV per cell
**E_form**: 0.08 eV per atom
**Theoretical density**: 10.58 g cm⁻³
**Total magnetic moment**: 0.000 μB/cell
**Calculated total energy**: -5.43 eV/cell

Entry 4:
DFT (PBEsol) results for a relaxed structure of Cd5Hg. Values from VASP.

```
&SYSTEM
  ibrav = 0, nat = 6, ntyp = 2
/
ATOMIC_SPECIES
Cd 112.41 Cd.upf
Hg 200.59 Hg.upf
CELL_PARAMETERS angstrom
5.726 0.000 0.000
-2.863 4.959 0.000
0.000 0.000 4.903
ATOMIC_POSITIONS angstrom
Cd -1.432 2.480 0.000
Cd 0.000 3.306 2.451
Cd 2.863 0.000 0.000
Cd 1.432 2.480 0.000
Cd 2.863 1.653 2.451
Hg 0.000 0.000 2.451
```

**Density of states at the Fermi level**: 2.0 states/eV per cell
**E_form**: 0.12 eV per atom
**Theoretical density**: 9.10 g cm⁻³
**Total magnetic moment**: 0.000 μB/cell
**Calculated total energy**: -5.84 eV/cell

Entry 5:
DFT (PBEsol) results for a relaxed structure of CdHg3. Values from VASP.

```
&SYSTEM
  ibrav = 0, nat = 4, ntyp = 2
/
ATOMIC_SPECIES
Cd 112.41 Cd.upf
Hg 200.59 Hg.upf
CELL_PARAMETERS angstrom
3.161 0.000 0.000
-1.580 2.737 0.000
0.000 0.000 10.323
ATOMIC_POSITIONS angstrom
Cd 0.000 0.000 0.000
Hg 0.000 0.000 5.162
Hg 1.580 0.912 2.549
Hg 1.580 0.912 7.775
```

**E above lowest polymorph**: 30 meV per atom
**Density of states at the Fermi level**: 1.5 states/eV per cell
**E_form**: 0.03 eV per atom
**Theoretical density**: 13.28 g cm⁻³
**Total magnetic moment**: 0.000 μB/cell
**Calculated total energy**: -2.79 eV/cell

Entry 6:
DFT (PBEsol) results for a relaxed structure of CdHg7. Values from VASP.

```
&SYSTEM
  ibrav = 0, nat = 8, ntyp = 2
/
ATOMIC_SPECIES
Cd 112.41 Cd.upf
Hg 200.59 Hg.upf
CELL_PARAMETERS angstrom
0.000 4.494 4.494
4.494 0.000 4.494
4.494 4.494 0.000
ATOMIC_POSITIONS angstrom
Cd 0.000 0.000 0.000
Hg 2.247 2.247 0.000
Hg 2.247 0.000 2.247
Hg 4.494 2.247 2.247
Hg 0.000 2.247 2.247
Hg 2.247 4.494 2.247
Hg 2.247 2.247 4.494
Hg 4.494 4.494 4.494
```

**Density of states at the Fermi level**: 2.8 states/eV per cell
**E_form**: 0.02 eV per atom
**Theoretical density**: 13.87 g cm⁻³
**Total magnetic moment**: 0.000 μB/cell
**Calculated total energy**: -5.01 eV/cell